An optimized crystal structure of SiIr2Cl. Source: Alexandria via LeMat-Bulk, functional GGA-PBE.

The structure in extended XYZ format:
```
4
Lattice="-2.044 -1.824 3.485 -3.897 -2.044 -0.535 -0.257 -4.411 0.360" Properties=species:S:1:pos:R:3 pbc="T T T"
Cl -3.099 -4.139 1.655
Ir 0.000 0.000 0.000
Ir -4.648 -6.209 2.483
Si -1.549 -2.070 0.828
```

The distance to the lowest polymorph of the same formula is 3.957 eV per formula unit. For the volume, the calculation gives 15.4 Å³ per atom. As for the crystal system: cubic. As for the space group: F-43m (216). As for the mass density: 12.08 g cm⁻³. Its uncorrected formation energy is 0.765 eV per atom.